1.
The following is a DFT calculation (PBE) of an optimized crystal structure of Na4LiTl6.

- SG = I-42m, No. 121
- formation energy (eV per atom) = -0.0426
- size of the total moment (Bohr magnetons per cell) = 0.000
- density of states at the Fermi level (states/eV/atom) = 0.492
- crystal system = tetragonal

Lattice parameters (Å, degrees): 6.213 9.542 6.213 71.00 90.00 109.00
Sites, in units of the cell vectors:
Na (0.626, 0.649, 0.374)
Na (0.977, 0.351, 0.626)
Na (0.023, 0.649, 0.977)
Na (0.374, 0.351, 0.023)
Li (0.000, 0.000, 0.000)
Tl (0.442, 0.265, 0.558)
Tl (0.823, 0.265, 0.177)
Tl (0.558, 0.735, 0.823)
Tl (0.000, 0.000, 0.500)
Tl (0.177, 0.735, 0.442)
Tl (0.500, 0.000, 0.000)

=====

2.
The following is a DFT calculation (PBE) of an optimized crystal structure of NaLiTl2V.

- SG = P4/mmm, No. 123
- formation energy (eV per atom) = 1.0939
- size of the total moment (Bohr magnetons per cell) = 0.114
- density of states at the Fermi level (states/eV/atom) = 1.312
- crystal system = tetragonal

Lattice parameters (Å, degrees): 5.332 4.373 5.332 90.00 90.00 90.00
Sites, in units of the cell vectors:
Na (0.000, 0.000, 0.000)
Tl (0.000, 0.000, 0.500)
Tl (0.500, 0.000, 0.000)
Li (0.000, 0.500, 0.000)
V (0.500, 0.500, 0.500)

=====

3.
The following is a DFT calculation (PBE) of an optimized crystal structure of NaLiYTl.

- SG = F-43m, No. 216
- formation energy (eV per atom) = -0.0926
- size of the total moment (Bohr magnetons per cell) = 0.000
- density of states at the Fermi level (states/eV/atom) = 0.750
- crystal system = cubic

Lattice parameters (Å, degrees): 5.229 5.229 5.229 60.00 60.00 60.00
Sites, in units of the cell vectors:
Y (0.750, 0.750, 0.750)
Na (0.250, 0.250, 0.250)
Tl (0.000, 0.000, 0.000)
Li (0.500, 0.500, 0.500)

=====

> Look up the size of the total moment of the third one.

0.000 Bohr magnetons per cell

=====

> Which value of density of states at the Fermi level does entry 2 give?

1.312 states/eV/atom